[1]
{"formula": "InSnBr3", "functional": "SCAN", "state": "PBEsol geometry", "raw_formation_energy_ev_per_fu": -3.5, "dft_energy_ev_per_atom": -26.242, "dos_at_fermi_per_ev_fu": 0.00, "magnetic_moment_mub_per_atom": 0.000, "lattice": [[0.000, 8.516, 8.785], [7.799, 0.000, 8.785], [7.799, 8.516, 0.000]], "species": ["In", "In", "In", "In", "In", "In", "In", "In", "Sn", "Sn", "Sn", "Sn", "Sn", "Sn", "Sn", "Sn", "Br", "Br", "Br", "Br", "Br", "Br", "Br", "Br", "Br", "Br", "Br", "Br", "Br", "Br", "Br", "Br", "Br", "Br", "Br", "Br", "Br", "Br", "Br", "Br"], "frac_coords": [[0.112, 0.726, 0.888], [0.217, 0.274, 0.112], [0.246, 0.754, 0.246], [0.274, 0.217, 0.396], [0.604, 0.888, 0.726], [0.726, 0.112, 0.274], [0.754, 0.246, 0.754], [0.888, 0.604, 0.783], [0.095, 0.095, 0.905], [0.379, 0.379, 0.621], [0.411, 0.767, 0.589], [0.477, 0.477, 0.023], [0.591, 0.888, 0.112], [0.767, 0.411, 0.233], [0.888, 0.591, 0.409], [0.977, 0.977, 0.523], [0.035, 0.109, 0.189], [0.054, 0.434, 0.566], [0.109, 0.035, 0.667], [0.137, 0.370, 0.863], [0.180, 0.686, 0.583], [0.189, 0.548, 0.171], [0.325, 0.933, 0.329], [0.333, 0.811, 0.891], [0.370, 0.137, 0.630], [0.417, 0.449, 0.820], [0.434, 0.054, 0.946], [0.449, 0.417, 0.314], [0.548, 0.189, 0.092], [0.568, 0.568, 0.432], [0.587, 0.671, 0.067], [0.599, 0.890, 0.401], [0.671, 0.587, 0.675], [0.686, 0.180, 0.551], [0.811, 0.333, 0.965], [0.829, 0.908, 0.811], [0.890, 0.599, 0.110], [0.908, 0.829, 0.452], [0.933, 0.325, 0.413], [0.935, 0.935, 0.065]]}

=====

[2]
{"formula": "SrInBr2", "functional": "SCAN", "state": "PBEsol geometry", "raw_formation_energy_ev_per_fu": -4.7, "dft_energy_ev_per_atom": -24.829, "dos_at_fermi_per_ev_fu": 2.30, "magnetic_moment_mub_per_atom": 0.000, "lattice": [[7.738, 0.000, 0.000], [0.000, 7.738, 0.000], [0.000, 0.000, 7.738]], "species": ["Sr", "Sr", "Sr", "Sr", "In", "In", "In", "In", "Br", "Br", "Br", "Br", "Br", "Br", "Br", "Br"], "frac_coords": [[0.000, 0.000, 0.000], [0.000, 0.500, 0.500], [0.500, 0.000, 0.500], [0.500, 0.500, 0.000], [0.000, 0.000, 0.500], [0.000, 0.500, 0.000], [0.500, 0.000, 0.000], [0.500, 0.500, 0.500], [0.250, 0.250, 0.250], [0.250, 0.250, 0.750], [0.250, 0.750, 0.250], [0.250, 0.750, 0.750], [0.750, 0.250, 0.250], [0.750, 0.250, 0.750], [0.750, 0.750, 0.250], [0.750, 0.750, 0.750]]}

=====

[3]
{"formula": "InTc2Br", "functional": "SCAN", "state": "PBEsol geometry", "relative_energy_ev_per_atom": 0.000, "raw_formation_energy_ev_per_fu": 0.5, "dft_energy_ev_per_atom": -30.623, "dos_at_fermi_per_ev_fu": 1.99, "magnetic_moment_mub_per_atom": 0.000, "lattice": [[3.017, 0.000, 0.000], [0.000, 3.058, 0.000], [0.000, 0.000, 15.934]], "species": ["In", "In", "Tc", "Tc", "Tc", "Tc", "Br", "Br"], "frac_coords": [[0.000, 0.000, 0.000], [0.000, 0.500, 0.500], [0.000, 0.000, 0.793], [0.000, 0.500, 0.293], [0.500, 0.000, 0.381], [0.500, 0.500, 0.881], [0.500, 0.000, 0.663], [0.500, 0.500, 0.163]]}

=====

[4]
{"formula": "InTc2Br", "functional": "SCAN", "state": "PBEsol geometry", "relative_energy_ev_per_atom": 0.910, "raw_formation_energy_ev_per_fu": 4.1, "dft_energy_ev_per_atom": -29.713, "dos_at_fermi_per_ev_fu": 4.07, "magnetic_moment_mub_per_atom": 0.000, "lattice": [[4.132, 0.000, 0.000], [0.000, 4.132, 0.000], [0.000, 0.000, 7.879]], "species": ["In", "In", "Tc", "Tc", "Tc", "Tc", "Br", "Br"], "frac_coords": [[0.000, 0.000, 0.000], [0.500, 0.500, 0.500], [0.000, 0.000, 0.500], [0.000, 0.500, 0.250], [0.500, 0.000, 0.750], [0.500, 0.500, 0.000], [0.000, 0.500, 0.750], [0.500, 0.000, 0.250]]}